No. 1
# Tb3Pm4Nd8 PBE-GGA relaxed
# Electronic total energy = -4.610 eV/atom
# Energy relative to the elements = 0.126 eV/atom
# Density of states at the Fermi level = 1.644 states/eV per atom
# Distance to the lowest polymorph of the same formula = 0 meV per atom
data_Tb3Pm4Nd8
_symmetry_space_group_name_H-M 'R -3 m'
_symmetry_Int_Tables_number 166
_symmetry_space_group_name_Hall '-R 3 2"'
_cell_length_a 7.0874
_cell_length_b 7.0874
_cell_length_c 36.2093
_cell_angle_alpha 90.00
_cell_angle_beta 90.00
_cell_angle_gamma 120.00
loop_
_atom_site_label
_atom_site_fract_x
_atom_site_fract_y
_atom_site_fract_z
_atom_site_occupancy
Tb1 0.0000 0.5000 0.0000 1
Pm1 0.0000 0.0000 0.0000 1
Pm2 0.0000 0.0000 0.1638 1
Pm3 0.0000 0.0000 0.5000 1
Nd1 0.0000 0.0000 0.2540 1
Nd2 0.0018 0.5009 0.2510 1

---

No. 2
# TbPm6Nd2 PBE-GGA relaxed
# Electronic total energy = -4.629 eV/atom
# Energy relative to the elements = 0.112 eV/atom
# Density of states at the Fermi level = 1.454 states/eV per atom
# Distance to the lowest polymorph of the same formula = 0 meV per atom
data_TbPm6Nd2
_symmetry_space_group_name_H-M 'C 1 2/c 1'
_symmetry_Int_Tables_number 15
_cell_length_a 12.941
_cell_length_b 14.743
_cell_length_c 6.754
_cell_angle_alpha 90.00
_cell_angle_beta 105.25
_cell_angle_gamma 90.00
loop_
_symmetry_equiv_pos_as_xyz
'x,y,z'
'-x,-y,-z'
'-x,y,-z+1/2'
'x,-y,z+1/2'
'x+1/2,y+1/2,z'
'-x+1/2,-y+1/2,-z'
'-x+1/2,y+1/2,-z+1/2'
'x+1/2,-y+1/2,z+1/2'
loop_
_atom_site_label
_atom_site_fract_x
_atom_site_fract_y
_atom_site_fract_z
_atom_site_occupancy
Tb1 0.000 0.116 0.250 1
Pm1 0.039 0.314 0.010 1
Pm2 0.133 0.094 0.819 1
Pm3 0.237 0.300 0.717 1
Nd1 0.144 0.477 0.371 1

---

No. 3
# Tb2Pm3Nd5 PBE-GGA relaxed
# Electronic total energy = -4.381 eV/atom
# Energy relative to the elements = 0.354 eV/atom
# Density of states at the Fermi level = 1.484 states/eV per atom
# Distance to the lowest polymorph of the same formula = 179 meV per atom
data_Tb2Pm3Nd5
_symmetry_space_group_name_H-M 'I b a m'
_symmetry_Int_Tables_number 72
_symmetry_space_group_name_Hall '-I 2 2c'
_cell_length_a 9.523
_cell_length_b 13.832
_cell_length_c 11.141
_cell_angle_alpha 90.00
_cell_angle_beta 90.00
_cell_angle_gamma 90.00
loop_
_atom_site_label
_atom_site_fract_x
_atom_site_fract_y
_atom_site_fract_z
_atom_site_occupancy
Tb1 0.088 0.124 0.000 1
Pm1 0.000 0.000 0.250 1
Pm2 0.249 0.375 0.000 1
Nd1 0.000 0.249 0.250 1
Nd2 0.000 0.500 0.250 1
Nd3 0.101 0.375 0.500 1

---

No. 4
# Tb6PmNd3 PBE-GGA relaxed
# Electronic total energy = -4.407 eV/atom
# Energy relative to the elements = 0.276 eV/atom
# Density of states at the Fermi level = 2.121 states/eV per atom
# Distance to the lowest polymorph of the same formula = 131 meV per atom
data_Tb6PmNd3
_symmetry_space_group_name_H-M 'R 3'
_symmetry_Int_Tables_number 146
_symmetry_space_group_name_Hall 'R 3'
_cell_length_a 9.9748
_cell_length_b 9.9748
_cell_length_c 11.7336
_cell_angle_alpha 90.00
_cell_angle_beta 90.00
_cell_angle_gamma 120.00
loop_
_atom_site_label
_atom_site_fract_x
_atom_site_fract_y
_atom_site_fract_z
_atom_site_occupancy
Tb1 0.9996 0.6735 0.0000 1
Tb2 0.0007 0.3267 0.5002 1
Pm1 0.0000 0.0000 0.7494 1
Nd1 0.0000 0.0000 0.2495 1
Nd2 0.0000 0.0000 0.5000 1
Nd3 0.0000 0.0000 0.9994 1

---

Q: distance to the lowest polymorph of the same formula of number 4 (Tb6PmNd3)?
A: 131 meV per atom